Entry from Alexandria via LeMat-Bulk: TeMoBr2 after structural relaxation (PBE).

The structure in POSCAR format:
```
TeMoBr2
1.0
1.784 1.030 9.014
-1.784 1.030 9.014
0.000 -2.059 9.014
Te Mo Br
1 1 2
Cartesian
0.000 0.000 0.000
0.000 0.000 19.837
0.000 0.000 6.681
0.000 0.000 12.550
```

Calculated values
energy relative to the elements, uncorrected = -0.018 eV per atom
excess energy over the best structure of this formula in the dataset = 0.77 eV/f.u.

---

Entry from Alexandria via LeMat-Bulk: MgBeAg2 after structural relaxation (PBE).

The structure in POSCAR format:
```
MgBeAg2
1.0
2.946 0.000 0.000
0.000 4.289 0.000
-1.418 0.000 5.107
Mg Be Ag
1 1 2
Cartesian
0.000 0.000 0.000
0.026 2.144 3.860
0.054 0.000 2.765
1.506 2.144 1.405
```

Calculated values
ΔE_f = 0.091 eV per atom
excess energy over the best structure of this formula in the dataset = 0.42 eV/f.u.

---

Entry from Alexandria via LeMat-Bulk: KCdAs2 after structural relaxation (PBE).

The structure in POSCAR format:
```
KCdAs2
1.0
-1.826 2.812 5.481
1.826 -2.812 5.481
1.826 2.812 -5.481
K Cd As
1 1 2
Cartesian
0.000 0.000 0.000
0.000 2.812 2.177
1.826 0.000 3.154
0.000 0.000 4.827
```

Calculated values
ΔE_f = -0.121 eV per atom

---

Entry from Alexandria via LeMat-Bulk: Ca2ScHg after structural relaxation (PBE).

The structure in POSCAR format:
```
Ca2ScHg
1.0
3.643 0.000 0.000
0.000 3.643 0.000
0.000 0.000 9.274
Ca Sc Hg
2 1 1
Cartesian
0.000 0.000 0.000
1.821 1.821 3.094
1.821 1.821 6.674
0.000 0.000 5.149
```

Calculated values
ΔE_f = -0.175 eV per atom

---

Values of total DFT energy (no corrections), in order: -17.4, -10.7, -11.8, -11.3, all in eV/cell.
Values of N(E_F), in order: 0.690, 0.209, 0.333, 1.191, all in states/eV/atom.